DFT (SCAN) results for ZrCdTc2 at its PBEsol-relaxed geometry.

abc: 2.9741 3.8860 5.8545
angles: 90.00 89.94 90.00
Last column: nearest neighbours and their distance in Å.
Fractional positions:
Cd 0.4997 0.5000 0.7622  5 Tc 2.74-2.92, 2 Cd 2.97, 4 Zr 2.98
Tc 0.5005 0.5000 0.2303  6 Tc 2.70-2.97, 1 Cd 2.74, 4 Zr 2.83
Zr 0.0003 0.0000 0.4726  5 Tc 2.56-2.83
Tc 0.9995 0.0000 0.0348  1 Zr 2.56, 4 Tc 2.70

Values from the calculation:
As for the electronic total energy: -2.40814 Ry per atom. As for the space-group type: No. 25. As for the energy of formation from the pure elements: 0.044 eV per atom.


DFT (SCAN) results for Zr2RhBr at its PBEsol-relaxed geometry.

abc: 3.8167 3.8167 5.7828
angles: 109.27 109.27 90.00
Last column: nearest neighbours and their distance in Å.
Fractional positions:
Zr 0.0000 0.0000 0.0000  4 Br 2.70
Br 0.5000 0.5000 0.0000  4 Zr 2.70
Rh 0.2500 0.7500 0.5000  4 Zr 2.70
Zr 0.7500 0.2500 0.5000  4 Rh 2.70

Values from the calculation:
The uncorrected formation energy is -0.189 eV per atom. As for the electronic total energy: -2.12016 Ry per atom. As for the space-group type: No. 119.


DFT (SCAN) results for Tl2HgCl at its PBEsol-relaxed geometry.

abc: 4.8067 4.8875 5.6523
angles: 115.62 115.16 90.00
Last column: nearest neighbours and their distance in Å.
Fractional positions:
Tl 0.2580 0.2580 0.5161  4 Hg 3.24-3.37, 4 Cl 3.27-3.34, 4 Tl 3.43
Tl 0.7420 0.7420 0.4839  4 Hg 3.24-3.37, 4 Cl 3.27-3.34, 4 Tl 3.43
Hg 0.0000 0.5000 0.0000  8 Tl 3.24-3.37, 4 Cl 3.43
Cl 0.5000 0.0000 0.0000  8 Tl 3.27-3.34, 4 Hg 3.43

Values from the calculation:
The uncorrected formation energy is -0.427 eV per atom. As for the electronic total energy: -4.08960 Ry per atom. As for the space-group type: No. 71.


DFT (SCAN) results for CaTlTe2 at its PBEsol-relaxed geometry.

abc: 4.4240 4.4240 6.4035
angles: 90.00 90.00 90.00
Last column: nearest neighbours and their distance in Å.
Fractional positions:
Te 0.5000 0.5000 0.3745  4 Tl 3.13, 2 Ca 3.20
Te 0.0000 0.0000 0.8752  4 Ca 3.13, 2 Tl 3.20-3.21
Tl 0.0000 0.0000 0.3758  6 Te 3.13-3.21
Ca 0.5000 0.5000 0.8745  6 Te 3.13-3.20

Values from the calculation:
The uncorrected formation energy is -0.970 eV per atom. As for the electronic total energy: -2.94736 Ry per atom. As for the space-group type: No. 99.


DFT (SCAN) results for BaLi2Ag at its PBEsol-relaxed geometry.

abc: 3.6001 3.6001 7.6260
angles: 90.00 90.00 90.00
Last column: nearest neighbours and their distance in Å.
Fractional positions:
Li 0.0000 0.0000 0.1635  1 Li 2.49
Li 0.0000 0.0000 0.8365  1 Li 2.49
Ba 0.5000 0.5000 0.5000  4 Ba 3.60, 8 Li 3.61, 2 Ag 3.81
Ag 0.5000 0.5000 0.0000  8 Li 2.83

Values from the calculation:
As for the electronic total energy: -1.38968 Ry per atom. As for the space-group type: No. 123. As for the energy of formation from the pure elements: 0.017 eV per atom.


DFT (SCAN) results for Ta2MoW at its PBEsol-relaxed geometry.

abc: 3.1972 4.4925 5.3381
angles: 114.88 107.43 90.00
Last column: nearest neighbours and their distance in Å.
Fractional positions:
Ta 0.9942 0.9942 0.9885  4 W 2.76, 2 Mo 2.78, 2 Ta 2.86
W 0.5058 0.5058 0.0117  2 Mo 2.71, 6 Ta 2.76-2.80
Ta 0.7541 0.2541 0.5082  4 Mo 2.76, 2 W 2.80, 2 Ta 2.86
Mo 0.2458 0.7458 0.4916  2 W 2.71, 6 Ta 2.76-2.78

Values from the calculation:
As for the electronic total energy: -4.38007 Ry per atom. As for the space-group type: No. 44. As for the energy of formation from the pure elements: -0.159 eV per atom.


DFT (SCAN) results for Mn3HgH at its PBEsol-relaxed geometry.

abc: 5.0513 5.0513 5.0513
angles: 90.00 90.00 90.00
Last column: nearest neighbours and their distance in Å.
Fractional positions:
Mn 0.5000 0.0000 0.0000  2 Hg 2.53
Mn 0.0000 0.0000 0.5000  2 Hg 2.53
Hg 0.0000 0.0000 0.0000  6 Mn 2.53
H 0.5000 0.5000 0.5000  12 Mn 3.57
Mn 0.0000 0.5000 0.0000  2 Hg 2.53

Values from the calculation:
As for the electronic total energy: -1.78298 Ry per atom. As for the space-group type: No. 221.


DFT (SCAN) results for ZnMoRh2 at its PBEsol-relaxed geometry.

abc: 2.7082 2.7082 7.5393
angles: 90.00 90.00 90.00
Last column: nearest neighbours and their distance in Å.
Fractional positions:
Zn 0.0000 0.0000 0.4877  4 Rh 2.59, 4 Zn 2.71, 4 Mo 2.76
Mo 0.5000 0.5000 0.7520  4 Rh 2.70, 4 Mo 2.71, 4 Zn 2.76
Rh 0.5000 0.5000 0.2566  4 Zn 2.59, 8 Rh 2.70-2.71
Rh 0.0000 0.0000 0.0037  4 Mo 2.70, 8 Rh 2.70-2.71

Values from the calculation:
As for the electronic total energy: -2.13430 Ry per atom. As for the space-group type: No. 99. As for the energy of formation from the pure elements: -0.053 eV per atom.


DFT (SCAN) results for RbMoAs2 at its PBEsol-relaxed geometry.

abc: 6.2589 6.2589 8.2450
angles: 112.31 112.31 90.00
Last column: nearest neighbours and their distance in Å.
Fractional positions:
As 0.1250 0.8750 0.2500  2 Mo 2.34
As 0.1250 0.8750 0.7500  2 Mo 2.34
As 0.1250 0.3750 0.2500  2 Mo 2.34
Mo 0.2500 0.7500 0.5000  4 As 2.34
Rb 0.5000 0.5000 0.0000  8 As 3.91
Mo 0.0000 0.0000 0.0000  4 As 2.34
Rb 0.7500 0.2500 0.5000  8 As 3.91
As 0.6250 0.8750 0.7500  2 Mo 2.34

Values from the calculation:
As for the electronic total energy: -1.77191 Ry per atom. As for the space-group type: No. 141. As for the energy of formation from the pure elements: -0.107 eV per atom.


DFT (SCAN) results for Mg2AlTl at its PBEsol-relaxed geometry.

abc: 3.3093 5.1945 5.4188
angles: 100.38 90.00 108.57
Last column: nearest neighbours and their distance in Å.
Fractional positions:
Mg 0.7546 0.5091 0.7612  3 Al 3.01-3.03, 3 Tl 3.02-3.11, 6 Mg 3.09-3.31
Al 0.5000 0.0000 0.0000  6 Mg 3.01-3.03, 4 Tl 3.17, 2 Al 3.31
Mg 0.2454 0.4909 0.2388  3 Al 3.01-3.03, 3 Tl 3.02-3.11, 6 Mg 3.09-3.31
Tl 0.0000 0.0000 0.5000  6 Mg 3.02-3.11, 4 Al 3.17, 2 Tl 3.31

Values from the calculation:
As for the electronic total energy: -1.65429 Ry per atom. As for the space-group type: No. 12. As for the energy of formation from the pure elements: 0.007 eV per atom.


DFT (SCAN) results for CsAs3F at its PBEsol-relaxed geometry.

abc: 4.8338 4.8338 4.8338
angles: 90.00 90.00 90.00
Last column: nearest neighbours and their distance in Å.
Fractional positions:
As 0.0000 0.5000 0.0000  2 F 2.42
F 0.0000 0.0000 0.0000  6 As 2.42
Cs 0.5000 0.5000 0.5000  12 As 3.42
As 0.5000 0.0000 0.0000  2 F 2.42
As 0.0000 0.0000 0.5000  2 F 2.42

Values from the calculation:
The uncorrected formation energy is 0.303 eV per atom. As for the electronic total energy: -1.47595 Ry per atom. As for the space-group type: No. 221.


DFT (SCAN) results for Sr2ScNi at its PBEsol-relaxed geometry.

abc: 4.1464 5.1667 5.1583
angles: 90.00 90.00 90.00
Last column: nearest neighbours and their distance in Å.
Fractional positions:
Sc 0.5000 0.5000 0.0000  8 Sr 3.31, 4 Ni 3.65
Sr 0.0000 0.0000 0.0000  4 Ni 3.31, 4 Sc 3.31, 4 Sr 3.65
Ni 0.5000 0.0000 0.5000  8 Sr 3.31, 4 Sc 3.65
Sr 0.0000 0.5000 0.5000  4 Sc 3.31, 4 Ni 3.31, 4 Sr 3.65

Values from the calculation:
As for the electronic total energy: -1.33701 Ry per atom. As for the space-group type: No. 123. As for the energy of formation from the pure elements: 0.549 eV per atom.


> The lowest electronic total energy belongs to which entry?

Ta2MoW